# 1
## BaBi2Se4 (PBE-GGA)

Data for a relaxed structure of BaBi2Se4.

**DFT total energy**: -59.2 eV/cell
**Space-group type**: No. 63
**Formation energy without anion corrections**: -5.98 eV per formula unit

a b c (Å): 7.3786 7.3786 14.5753
angles (deg): 90.00 90.00 146.00
Fractional coordinates of all 14 atoms:
Ba (0.1111, 0.8889, 0.7500)
Ba (0.8889, 0.1111, 0.2500)
Bi (0.3661, 0.6339, 0.5692)
Bi (0.3661, 0.6339, 0.9308)
Bi (0.6339, 0.3661, 0.0692)
Bi (0.6339, 0.3661, 0.4308)
Se (0.0000, 0.0000, 0.0000)
Se (0.0000, 0.0000, 0.5000)
Se (0.2681, 0.7319, 0.1132)
Se (0.2681, 0.7319, 0.3868)
Se (0.4441, 0.5559, 0.7500)
Se (0.5559, 0.4441, 0.2500)
Se (0.7319, 0.2681, 0.6132)
Se (0.7319, 0.2681, 0.8868)

# 2
## SrCa2TlIr (PBE-GGA)

Data for a relaxed structure of SrCa2TlIr.

**DFT total energy**: -17.8 eV/cell
**Space-group type**: No. 123
**Distance to the lowest polymorph of the same formula**: 39.5 meV per atom
**N(E_F)**: 4.3 states/eV/cell
**E_form**: -0.17 eV/atom

a b c (Å): 5.5141 5.5141 5.4338
angles (deg): 90.00 90.00 90.00
Fractional coordinates of all 5 atoms:
Sr (0.0000, 0.0000, 0.0000)
Ca (0.0000, 0.5000, 0.5000)
Ca (0.5000, 0.0000, 0.5000)
Tl (0.5000, 0.5000, 0.0000)
Ir (0.5000, 0.5000, 0.5000)

# 3
## K2Na6TlCd (PBE-GGA)

Data for a relaxed structure of K2Na6TlCd.

**DFT total energy**: -13.1 eV/cell
**Space-group type**: No. 225
**N(E_F)**: 4.7 states/eV/cell
**E_form**: 0.03 eV/atom

a b c (Å): 8.5819 8.5819 8.5819
angles (deg): 60.00 60.00 60.00
Fractional coordinates of all 10 atoms:
K (0.2500, 0.2500, 0.2500)
K (0.7500, 0.7500, 0.7500)
Na (0.2492, 0.2492, 0.7508)
Na (0.2492, 0.7508, 0.2492)
Na (0.2492, 0.7508, 0.7508)
Na (0.7508, 0.2492, 0.2492)
Na (0.7508, 0.2492, 0.7508)
Na (0.7508, 0.7508, 0.2492)
Tl (0.5000, 0.5000, 0.5000)
Cd (0.0000, 0.0000, 0.0000)

# 4
## AlMo3 (PBE-GGA)

Data for a relaxed structure of AlMo3.

**DFT total energy**: -74.5 eV/cell
**Space-group type**: No. 223
**Distance to the lowest polymorph of the same formula**: 0.0 meV per atom
**N(E_F)**: 4.2 states/eV/cell
**E_form**: -0.25 eV/atom

a b c (Å): 4.9725 4.9725 4.9725
angles (deg): 90.00 90.00 90.00
Fractional coordinates of all 8 atoms:
Al (0.0000, 0.0000, 0.0000)
Al (0.5000, 0.5000, 0.5000)
Mo (0.0000, 0.2500, 0.5000)
Mo (0.0000, 0.7500, 0.5000)
Mo (0.2500, 0.5000, 0.0000)
Mo (0.5000, 0.0000, 0.2500)
Mo (0.5000, 0.0000, 0.7500)
Mo (0.7500, 0.5000, 0.0000)

# 5
## Al2TcOs (PBE-GGA)

Data for a relaxed structure of Al2TcOs.

**DFT total energy**: -29.8 eV/cell
**Space-group type**: No. 10
**Distance to the lowest polymorph of the same formula**: 163.0 meV per atom
**N(E_F)**: 2.9 states/eV/cell
**E_form**: -0.17 eV/atom

a b c (Å): 2.7912 4.1009 5.0710
angles (deg): 90.00 95.70 90.00
Fractional coordinates of all 4 atoms:
Al (0.2406, 0.0000, 0.2507)
Al (0.7594, 0.0000, 0.7493)
Tc (0.5000, 0.5000, 0.0000)
Os (0.0000, 0.5000, 0.5000)

# 6
## Rb2In2Te5 (PBE-GGA)

Data for a relaxed structure of Rb2In2Te5.

**DFT total energy**: -27.0 eV/cell
**Space-group type**: No. 12
**Formation energy without anion corrections**: -3.87 eV per formula unit
**N(E_F)**: 3.3 states/eV/cell

a b c (Å): 7.8112 7.8112 10.9198
angles (deg): 100.94 100.94 38.69
Fractional coordinates of all 9 atoms:
Rb (0.0857, 0.0857, 0.3519)
Rb (0.9143, 0.9143, 0.6481)
In (0.3300, 0.3300, 0.1390)
In (0.6700, 0.6700, 0.8610)
Te (0.1374, 0.1374, 0.9972)
Te (0.3979, 0.3979, 0.3891)
Te (0.5000, 0.5000, 0.0000)
Te (0.6021, 0.6021, 0.6109)
Te (0.8626, 0.8626, 0.0028)

# 7
## LaTb2Dy9 (PBE-GGA)

Data for a relaxed structure of LaTb2Dy9.

**DFT total energy**: -55.2 eV/cell
**Space-group type**: No. 191
**Distance to the lowest polymorph of the same formula**: 13.1 meV per atom
**N(E_F)**: 16.4 states/eV/cell
**E_form**: 0.04 eV/atom

a b c (Å): 11.2821 11.2821 3.5250
angles (deg): 90.00 90.00 120.00
Fractional coordinates of all 12 atoms:
La (0.0000, 0.0000, 0.0000)
Tb (0.3333, 0.6667, 0.0000)
Tb (0.6667, 0.3333, 0.0000)
Dy (0.0000, 0.5000, 0.0000)
Dy (0.1786, 0.3571, 0.5000)
Dy (0.1786, 0.8214, 0.5000)
Dy (0.3571, 0.1786, 0.5000)
Dy (0.5000, 0.0000, 0.0000)
Dy (0.5000, 0.5000, 0.0000)
Dy (0.6429, 0.8214, 0.5000)
Dy (0.8214, 0.1786, 0.5000)
Dy (0.8214, 0.6429, 0.5000)

# 8
## Ta2GeO (PBE-GGA)

Data for a relaxed structure of Ta2GeO.

**DFT total energy**: -69.1 eV/cell
**Space-group type**: No. 122
**Formation energy without anion corrections**: -1.25 eV per formula unit
**Distance to the lowest polymorph of the same formula**: 0.0 meV per atom
**N(E_F)**: 5.9 states/eV/cell

a b c (Å): 6.9503 6.9503 6.9503
angles (deg): 138.59 138.59 60.00
Fractional coordinates of all 8 atoms:
Ta (0.0203, 0.6250, 0.8953)
Ta (0.3750, 0.2703, 0.3953)
Ta (0.7297, 0.1250, 0.1047)
Ta (0.8750, 0.9797, 0.6047)
Ge (0.2500, 0.7500, 0.5000)
Ge (0.5000, 0.5000, 0.0000)
O (0.0000, 0.0000, 0.0000)
O (0.7500, 0.2500, 0.5000)

# 9
## OsPtBr4 (PBE-GGA)

Data for a relaxed structure of OsPtBr4.

**DFT total energy**: -12.2 eV/cell
**Space-group type**: No. 216
**Formation energy without anion corrections**: 11.73 eV per formula unit
**N(E_F)**: 6.6 states/eV/cell

a b c (Å): 5.9027 5.9027 5.9027
angles (deg): 60.00 60.00 60.00
Fractional coordinates of all 6 atoms:
Os (0.0000, 0.0000, 0.0000)
Pt (0.7500, 0.7500, 0.7500)
Br (0.3750, 0.3750, 0.3750)
Br (0.3750, 0.3750, 0.8751)
Br (0.3750, 0.8751, 0.3750)
Br (0.8751, 0.3750, 0.3750)

# 10
## GaSiI2N (PBE-GGA)

Data for a relaxed structure of GaSiI2N.

**DFT total energy**: -19.2 eV/cell
**Space-group type**: No. 123
**Formation energy without anion corrections**: 0.72 eV per formula unit
**Distance to the lowest polymorph of the same formula**: 0.0 meV per atom
**N(E_F)**: 1.7 states/eV/cell

a b c (Å): 6.0396 6.0396 3.3664
angles (deg): 90.00 90.00 90.00
Fractional coordinates of all 5 atoms:
Ga (0.0000, 0.0000, 0.0000)
Si (0.5000, 0.5000, 0.5000)
I (0.0000, 0.5000, 0.5000)
I (0.5000, 0.0000, 0.5000)
N (0.5000, 0.5000, 0.0000)

# 11
## Th4TlB3Rh12 (PBE-GGA)

Data for a relaxed structure of Th4TlB3Rh12.

**DFT total energy**: -152.9 eV/cell
**Space-group type**: No. 229
**N(E_F)**: 2.3 states/eV/cell
**E_form**: -0.63 eV/atom

a b c (Å): 7.6619 7.6619 7.6619
angles (deg): 109.47 109.47 109.47
Fractional coordinates of all 20 atoms:
Th (0.0000, 0.0000, 0.5000)
Th (0.0000, 0.5000, 0.0000)
Th (0.5000, 0.0000, 0.0000)
Th (0.5000, 0.5000, 0.5000)
Tl (0.0000, 0.0000, 0.0000)
B (0.0000, 0.5000, 0.5000)
B (0.5000, 0.0000, 0.5000)
B (0.5000, 0.5000, 0.0000)
Rh (0.0000, 0.2832, 0.2832)
Rh (0.0000, 0.7168, 0.7168)
Rh (0.2500, 0.5000, 0.7500)
Rh (0.2500, 0.7500, 0.5000)
Rh (0.2832, 0.0000, 0.2832)
Rh (0.2832, 0.2832, 0.0000)
Rh (0.5000, 0.2500, 0.7500)
Rh (0.5000, 0.7500, 0.2500)
Rh (0.7168, 0.0000, 0.7168)
Rh (0.7168, 0.7168, 0.0000)
Rh (0.7500, 0.2500, 0.5000)
Rh (0.7500, 0.5000, 0.2500)

# 12
## BaCaI2 (PBE-GGA)

Data for a relaxed structure of BaCaI2.

**DFT total energy**: -11.4 eV/cell
**Space-group type**: No. 166
**Formation energy without anion corrections**: -4.39 eV per formula unit
**Distance to the lowest polymorph of the same formula**: 13.4 meV per atom
**N(E_F)**: 2.5 states/eV/cell

a b c (Å): 11.3378 11.3378 11.3378
angles (deg): 22.94 22.94 22.94
Fractional coordinates of all 4 atoms:
Ba (0.0000, 0.0000, 0.0000)
Ca (0.5000, 0.5000, 0.5000)
I (0.1119, 0.1119, 0.1119)
I (0.8881, 0.8881, 0.8881)

Question: Among the records above, which one has the highest DFT total energy?
Answer: BaCaI2